A geometry-optimized PaP3Pd5 structure, computed with PBE-GGA.

Lattice parameters (Å, degrees): 6.880 6.880 11.718 90.00 90.00 146.81
Fractional coordinates of all 18 atoms:
Pa  0.108  0.892  0.750
Pa  0.892  0.108  0.250
P  0.136  0.864  0.250
P  0.409  0.591  0.081
P  0.409  0.591  0.419
P  0.591  0.409  0.581
P  0.591  0.409  0.919
P  0.864  0.136  0.750
Pd  0.000  0.000  0.000
Pd  0.000  0.000  0.500
Pd  0.235  0.765  0.084
Pd  0.235  0.765  0.416
Pd  0.408  0.592  0.634
Pd  0.408  0.592  0.866
Pd  0.592  0.408  0.134
Pd  0.592  0.408  0.366
Pd  0.765  0.235  0.584
Pd  0.765  0.235  0.916

- Formation enthalpy at 0 K: -573 meV per atom
- Space group: No. 63
- Fermi-level density of states: 0.67 states/eV/atom
- Total energy: -6.32 eV per atom